Entry 1:
# GGA-PBE MgBe2Os, optimized geometry
# DFT total energy = -37.57 eV for the cell shown
# energy of formation from the pure elements = 0.372 eV/atom
data_MgBe2Os
_chemical_formula_sum 'Mg2 Be4 Os2'
_cell_length_a 2.981
_cell_length_b 4.427
_cell_length_c 7.879
_cell_angle_alpha 90.00
_cell_angle_beta 90.00
_cell_angle_gamma 90.00
_symmetry_space_group_name_H-M 'C m m 2'
_symmetry_Int_Tables_number 35
loop_
_symmetry_equiv_pos_as_xyz
'x,y,z'
'-x,-y,z'
'-x,y,z'
'x,-y,z'
'x+1/2,y+1/2,z'
'-x+1/2,-y+1/2,z'
'-x+1/2,y+1/2,z'
'x+1/2,-y+1/2,z'
loop_
_atom_site_label
_atom_site_fract_x
_atom_site_fract_y
_atom_site_fract_z
Mg1 0.000 0.000 0.000
Be1 0.000 0.000 0.509
Be2 0.000 0.500 0.723
Os1 0.000 0.500 0.290

---

Entry 2:
# GGA-PBE MgBeOs2, optimized geometry
# distance to the lowest polymorph of the same formula = 175 meV per atom
# DFT total energy = -27.15 eV for the cell shown
# energy of formation from the pure elements = 0.157 eV/atom
data_MgBeOs2
_chemical_formula_sum 'Mg1 Be1 Os2'
_cell_length_a 2.804
_cell_length_b 4.052
_cell_length_c 5.067
_cell_angle_alpha 90.00
_cell_angle_beta 106.06
_cell_angle_gamma 90.00
_symmetry_space_group_name_H-M 'P 1 m 1'
_symmetry_Int_Tables_number 6
loop_
_symmetry_equiv_pos_as_xyz
'x,y,z'
'x,-y,z'
loop_
_atom_site_label
_atom_site_fract_x
_atom_site_fract_y
_atom_site_fract_z
Mg1 0.000 0.000 0.000
Be1 0.406 0.500 0.811
Os1 0.268 0.000 0.532
Os2 0.665 0.500 0.329

---

Entry 3:
# GGA-PBE MgBeOs2, optimized geometry
# distance to the lowest polymorph of the same formula = 269 meV per atom
# DFT total energy = -53.56 eV for the cell shown
# energy of formation from the pure elements = 0.250 eV/atom
data_MgBeOs2
_chemical_formula_sum 'Mg2 Be2 Os4'
_cell_length_a 8.954
_cell_length_b 2.796
_cell_length_c 4.536
_cell_angle_alpha 90.00
_cell_angle_beta 101.80
_cell_angle_gamma 90.00
_symmetry_space_group_name_H-M 'C 1 m 1'
_symmetry_Int_Tables_number 8
loop_
_symmetry_equiv_pos_as_xyz
'x,y,z'
'x,-y,z'
'x+1/2,y+1/2,z'
'x+1/2,-y+1/2,z'
loop_
_atom_site_label
_atom_site_fract_x
_atom_site_fract_y
_atom_site_fract_z
Mg1 0.000 0.000 0.000
Be1 0.263 0.500 0.230
Os1 0.234 0.000 0.688
Os2 0.490 0.000 0.491

---

Entry 4:
# GGA-PBE MgBeOs2, optimized geometry
# distance to the lowest polymorph of the same formula = 467 meV per atom
# DFT total energy = -103.95 eV for the cell shown
# energy of formation from the pure elements = 0.448 eV/atom
data_MgBeOs2
_chemical_formula_sum 'Mg4 Be4 Os8'
_cell_length_a 5.945
_cell_length_b 5.945
_cell_length_c 5.945
_cell_angle_alpha 90.00
_cell_angle_beta 90.00
_cell_angle_gamma 90.00
_symmetry_space_group_name_H-M 'F m -3 m'
_symmetry_Int_Tables_number 225
_symmetry_space_group_name_Hall '-F 4 2 3'
loop_
_atom_site_label
_atom_site_fract_x
_atom_site_fract_y
_atom_site_fract_z
Mg1 0.000 0.000 0.000
Be1 0.000 0.000 0.500
Os1 0.250 0.250 0.250

---

Entry 5:
# GGA-PBE MgBeOs4, optimized geometry
# DFT total energy = -185.82 eV for the cell shown
# energy of formation from the pure elements = 0.631 eV/atom
data_MgBeOs4
_chemical_formula_sum 'Mg4 Be4 Os16'
_cell_length_a 7.267
_cell_length_b 7.267
_cell_length_c 7.267
_cell_angle_alpha 90.00
_cell_angle_beta 90.00
_cell_angle_gamma 90.00
_symmetry_space_group_name_H-M 'F -4 3 m'
_symmetry_Int_Tables_number 216
_symmetry_space_group_name_Hall 'F -4 2 3'
loop_
_atom_site_label
_atom_site_fract_x
_atom_site_fract_y
_atom_site_fract_z
Mg1 0.000 0.000 0.000
Be1 0.250 0.250 0.250
Os1 0.125 0.125 0.625

---

Entry 6:
# GGA-PBE MgBeOs, optimized geometry
# distance to the lowest polymorph of the same formula = 0 meV per atom
# DFT total energy = -32.98 eV for the cell shown
# energy of formation from the pure elements = 0.021 eV/atom
data_MgBeOs
_chemical_formula_sum 'Mg2 Be2 Os2'
_cell_length_a 3.032
_cell_length_b 3.032
_cell_length_c 9.124
_cell_angle_alpha 90.00
_cell_angle_beta 90.00
_cell_angle_gamma 90.00
_symmetry_space_group_name_H-M 'I 4 m m'
_symmetry_Int_Tables_number 107
_symmetry_space_group_name_Hall 'I 4 -2'
loop_
_atom_site_label
_atom_site_fract_x
_atom_site_fract_y
_atom_site_fract_z
Mg1 0.000 0.000 0.000
Be1 0.000 0.000 0.285
Os1 0.000 0.000 0.700

---

Q: The lowest energy of formation from the pure elements belongs to which entry?
A: MgBeOs

---

Q: Among the records above, which one has the highest energy of formation from the pure elements?
A: MgBeOs4

---

Q: energy of formation from the pure elements of number 4 (MgBeOs2)?
A: 0.448 eV/atom